Entry from Alexandria: Bi2MoO8 after structural relaxation (PBE+U).

The structure belongs to space group P1 (No. 1); the cell edges are 5.644, 5.836 and 6.251 Å and the angles 107.29°, 94.43° and 109.55°. The distinct sites, in fractional coordinates, are Bi at (0.000, 0.000, 0.000), Bi at (0.294, 0.668, 0.555), Mo at (0.649, 0.358, 0.799), O at (0.015, 0.433, 0.205), O at (0.253, 0.245, 0.433), O at (0.368, 0.136, 0.864), O at (0.503, 0.224, 0.466), O at (0.567, 0.661, 0.863), O at (0.835, 0.146, 0.758), O at (0.855, 0.548, 0.124) and O at (0.980, 0.634, 0.720).

The calculation puts the energy at -5.918 eV per atom.